(1)
# PBE ScSbO, optimized geometry
# * calculated density: 5.69 g/cm³
# * formation energy from raw total energies: -196.6 kJ/mol of atoms
# * V: 17.762 A^3/atom
# * energy: -7.1746 eV per atom
data_ScSbO
_chemical_formula_sum 'Sc2 Sb2 O2'
_symmetry_space_group_name_H-M 'P 4/n m m'
_symmetry_Int_Tables_number 129
_cell_length_a 3.886
_cell_length_b 3.886
_cell_length_c 7.057
_cell_angle_alpha 90.00
_cell_angle_beta 90.00
_cell_angle_gamma 90.00
loop_
_symmetry_equiv_pos_as_xyz
'x,y,z'
'-x,-y,-z'
'-y+1/2,x,z'
'y+1/2,-x,-z'
'-x+1/2,-y+1/2,z'
'x+1/2,y+1/2,-z'
'y,-x+1/2,z'
'-y,x+1/2,-z'
'x+1/2,-y,-z'
'-x+1/2,y,z'
'-y,-x,-z'
'y,x,z'
'-x,y+1/2,-z'
'x,-y+1/2,z'
'y+1/2,x+1/2,-z'
'-y+1/2,-x+1/2,z'
loop_
_atom_site_label
_atom_site_fract_x
_atom_site_fract_y
_atom_site_fract_z
_atom_site_occupancy
Sc1 0.250 0.250 0.129 1
Sb1 0.250 0.250 0.587 1
O1 0.250 0.750 0.000 1

---

(2)
# PBE KRb2In2, optimized geometry
# * calculated density: 2.63 g/cm³
# * energy of formation: 28 meV per atom
# * V: 55.465 A^3/atom
# * energy: -1.6743 eV per atom
data_KRb2In2
_chemical_formula_sum 'K2 Rb4 In4'
_symmetry_space_group_name_H-M 'I 4/m m m'
_symmetry_Int_Tables_number 139
_symmetry_space_group_name_Hall '-I 4 2'
_cell_length_a 4.400
_cell_length_b 4.400
_cell_length_c 28.650
_cell_angle_alpha 90.00
_cell_angle_beta 90.00
_cell_angle_gamma 90.00
loop_
_atom_site_label
_atom_site_fract_x
_atom_site_fract_y
_atom_site_fract_z
_atom_site_occupancy
K1 0.000 0.000 0.000 1
Rb1 0.000 0.000 0.365 1
In1 0.000 0.500 0.250 1

---

(3)
# PBE GaHgRuSe2, optimized geometry
# * calculated density: 7.30 g/cm³
# * formation energy from raw total energies: 17.9 kJ/mol of atoms
# * V: 24.066 A^3/atom
# * energy: -3.7290 eV per atom
data_GaHgRuSe2
_chemical_formula_sum 'Ga1 Hg1 Ru1 Se2'
_symmetry_space_group_name_H-M 'P 4/m m m'
_symmetry_Int_Tables_number 123
_symmetry_space_group_name_Hall '-P 4 2'
_cell_length_a 4.944
_cell_length_b 4.944
_cell_length_c 4.922
_cell_angle_alpha 90.00
_cell_angle_beta 90.00
_cell_angle_gamma 90.00
loop_
_atom_site_label
_atom_site_fract_x
_atom_site_fract_y
_atom_site_fract_z
_atom_site_occupancy
Ga1 0.000 0.000 0.000 1
Hg1 0.500 0.500 0.000 1
Ru1 0.000 0.000 0.500 1
Se1 0.000 0.500 0.500 1

---

(4)
# PBE Cu2AgAs2, optimized geometry
# * calculated density: 7.45 g/cm³
# * energy of formation: 258 meV per atom
# * V: 17.164 A^3/atom
# * energy: -3.8106 eV per atom
data_Cu2AgAs2
_chemical_formula_sum 'Cu4 Ag2 As4'
_symmetry_space_group_name_H-M 'I 4/m m m'
_symmetry_Int_Tables_number 139
_symmetry_space_group_name_Hall '-I 4 2'
_cell_length_a 3.786
_cell_length_b 3.786
_cell_length_c 11.975
_cell_angle_alpha 90.00
_cell_angle_beta 90.00
_cell_angle_gamma 90.00
loop_
_atom_site_label
_atom_site_fract_x
_atom_site_fract_y
_atom_site_fract_z
_atom_site_occupancy
Cu1 0.000 0.000 0.101 1
Ag1 0.000 0.000 0.500 1
As1 0.000 0.500 0.250 1

---

(5)
# PBE TaAlHg2, optimized geometry
# * calculated density: 12.94 g/cm³
# * energy of formation: 390 meV per atom
# * V: 19.537 A^3/atom
# * energy: -3.6592 eV per atom
data_TaAlHg2
_chemical_formula_sum 'Ta1 Al1 Hg2'
_symmetry_space_group_name_H-M 'P 4/m m m'
_symmetry_Int_Tables_number 123
_symmetry_space_group_name_Hall '-P 4 2'
_cell_length_a 2.953
_cell_length_b 2.953
_cell_length_c 8.960
_cell_angle_alpha 90.00
_cell_angle_beta 90.00
_cell_angle_gamma 90.00
loop_
_atom_site_label
_atom_site_fract_x
_atom_site_fract_y
_atom_site_fract_z
_atom_site_occupancy
Ta1 0.000 0.000 0.000 1
Al1 0.000 0.000 0.500 1
Hg1 0.500 0.500 0.251 1

---

(6)
# PBE ZnSeBr, optimized geometry
# * calculated density: 5.20 g/cm³
# * formation energy from raw total energies: 8.3 kJ/mol of atoms
# * V: 23.893 A^3/atom
# * energy: -2.0574 eV per atom
data_ZnSeBr
_chemical_formula_sum 'Zn4 Se4 Br4'
_symmetry_space_group_name_H-M 'F -4 3 m'
_symmetry_Int_Tables_number 216
_symmetry_space_group_name_Hall 'F -4 2 3'
_cell_length_a 6.594
_cell_length_b 6.594
_cell_length_c 6.594
_cell_angle_alpha 90.00
_cell_angle_beta 90.00
_cell_angle_gamma 90.00
loop_
_atom_site_label
_atom_site_fract_x
_atom_site_fract_y
_atom_site_fract_z
_atom_site_occupancy
Zn1 0.000 0.000 0.000 1
Se1 0.250 0.250 0.250 1
Br1 0.250 0.250 0.750 1

---

(7)
# PBE CaAlN2, optimized geometry
# * calculated density: 2.73 g/cm³
# * formation energy from raw total energies: -69.0 kJ/mol of atoms
# * V: 14.464 A^3/atom
# * energy: -6.3134 eV per atom
data_CaAlN2
_chemical_formula_sum 'Ca4 Al4 N8'
_symmetry_space_group_name_H-M 'I -4 2 d'
_symmetry_Int_Tables_number 122
_symmetry_space_group_name_Hall 'I -4 2bw'
_cell_length_a 4.860
_cell_length_b 4.860
_cell_length_c 9.797
_cell_angle_alpha 90.00
_cell_angle_beta 90.00
_cell_angle_gamma 90.00
loop_
_atom_site_label
_atom_site_fract_x
_atom_site_fract_y
_atom_site_fract_z
_atom_site_occupancy
Ca1 0.000 0.000 0.000 1
Al1 0.000 0.000 0.500 1
N1 0.158 0.250 0.625 1

---

(8)
# PBE La2OsAuC, optimized geometry
# * calculated density: 10.04 g/cm³
# * energy of formation: -445 meV per atom
# * V: 22.398 A^3/atom
# * energy: -7.1623 eV per atom
data_La2OsAuC
_chemical_formula_sum 'La2 Os1 Au1 C1'
_symmetry_space_group_name_H-M 'P 4/m m m'
_symmetry_Int_Tables_number 123
_symmetry_space_group_name_Hall '-P 4 2'
_cell_length_a 5.351
_cell_length_b 5.351
_cell_length_c 3.912
_cell_angle_alpha 90.00
_cell_angle_beta 90.00
_cell_angle_gamma 90.00
loop_
_atom_site_label
_atom_site_fract_x
_atom_site_fract_y
_atom_site_fract_z
_atom_site_occupancy
La1 0.000 0.500 0.000 1
Os1 0.000 0.000 0.500 1
Au1 0.500 0.500 0.500 1
C1 0.000 0.000 0.000 1

---

(9)
# PBE SrInI2O, optimized geometry
# * calculated density: 4.10 g/cm³
# * formation energy from raw total energies: -86.6 kJ/mol of atoms
# * V: 38.259 A^3/atom
# * energy: -3.3932 eV per atom
data_SrInI2O
_chemical_formula_sum 'Sr1 In1 I2 O1'
_symmetry_space_group_name_H-M 'P 4/m m m'
_symmetry_Int_Tables_number 123
_symmetry_space_group_name_Hall '-P 4 2'
_cell_length_a 6.431
_cell_length_b 6.431
_cell_length_c 4.625
_cell_angle_alpha 90.00
_cell_angle_beta 90.00
_cell_angle_gamma 90.00
loop_
_atom_site_label
_atom_site_fract_x
_atom_site_fract_y
_atom_site_fract_z
_atom_site_occupancy
Sr1 0.000 0.000 0.000 1
In1 0.500 0.500 0.500 1
I1 0.000 0.500 0.000 1
O1 0.000 0.000 0.500 1

---

(10)
# PBE Pm3HoPd12, optimized geometry
# * calculated density: 10.76 g/cm³
# * energy of formation: -816 meV per atom
# * V: 18.100 A^3/atom
# * energy: -5.8873 eV per atom
data_Pm3HoPd12
_chemical_formula_sum 'Pm3 Ho1 Pd12'
_symmetry_space_group_name_H-M 'P 4/m m m'
_symmetry_Int_Tables_number 123
_symmetry_space_group_name_Hall '-P 4 2'
_cell_length_a 4.160
_cell_length_b 4.160
_cell_length_c 16.733
_cell_angle_alpha 90.00
_cell_angle_beta 90.00
_cell_angle_gamma 90.00
loop_
_atom_site_label
_atom_site_fract_x
_atom_site_fract_y
_atom_site_fract_z
_atom_site_occupancy
Pm1 0.000 0.000 0.000 1
Pm2 0.000 0.000 0.253 1
Ho1 0.000 0.000 0.500 1
Pd1 0.000 0.500 0.126 1
Pd2 0.000 0.500 0.379 1
Pd3 0.500 0.500 0.000 1
Pd4 0.500 0.500 0.252 1
Pd5 0.500 0.500 0.500 1

---

(11)
# PBE Ce2NdPuAs4, optimized geometry
# * calculated density: 7.60 g/cm³
# * energy of formation: -1348 meV per atom
# * V: 26.433 A^3/atom
# * energy: -7.5437 eV per atom
data_Ce2NdPuAs4
_chemical_formula_sum 'Ce2 Nd1 Pu1 As4'
_symmetry_space_group_name_H-M 'P 1 2/m 1'
_symmetry_Int_Tables_number 10
_cell_length_a 7.289
_cell_length_b 4.216
_cell_length_c 7.301
_cell_angle_alpha 90.00
_cell_angle_beta 109.55
_cell_angle_gamma 90.00
loop_
_symmetry_equiv_pos_as_xyz
'x,y,z'
'-x,-y,-z'
'-x,y,-z'
'x,-y,z'
loop_
_atom_site_label
_atom_site_fract_x
_atom_site_fract_y
_atom_site_fract_z
_atom_site_occupancy
Ce1 0.000 0.000 0.000 1
Ce2 0.000 0.500 0.500 1
Nd1 0.500 0.000 0.500 1
Pu1 0.500 0.500 0.000 1
As1 0.246 0.500 0.245 1
As2 0.250 0.000 0.755 1

---

(12)
# PBE NaGa2Cl, optimized geometry
# * calculated density: 3.22 g/cm³
# * formation energy from raw total energies: -2.7 kJ/mol of atoms
# * V: 25.481 A^3/atom
# * energy: -2.3330 eV per atom
data_NaGa2Cl
_chemical_formula_sum 'Na4 Ga8 Cl4'
_symmetry_space_group_name_H-M 'F m -3 m'
_symmetry_Int_Tables_number 225
_symmetry_space_group_name_Hall '-F 4 2 3'
_cell_length_a 7.415
_cell_length_b 7.415
_cell_length_c 7.415
_cell_angle_alpha 90.00
_cell_angle_beta 90.00
_cell_angle_gamma 90.00
loop_
_atom_site_label
_atom_site_fract_x
_atom_site_fract_y
_atom_site_fract_z
_atom_site_occupancy
Na1 0.000 0.000 0.000 1
Ga1 0.250 0.250 0.250 1
Cl1 0.000 0.000 0.500 1

---

(13)
# PBE Sr2TiTl3Se6, optimized geometry
# * calculated density: 6.19 g/cm³
# * formation energy from raw total energies: -102.5 kJ/mol of atoms
# * V: 29.270 A^3/atom
# * energy: -4.3341 eV per atom
data_Sr2TiTl3Se6
_chemical_formula_sum 'Sr4 Ti2 Tl6 Se12'
_symmetry_space_group_name_H-M 'C 1 2/m 1'
_symmetry_Int_Tables_number 12
_cell_length_a 7.485
_cell_length_b 13.007
_cell_length_c 7.678
_cell_angle_alpha 90.00
_cell_angle_beta 109.98
_cell_angle_gamma 90.00
loop_
_symmetry_equiv_pos_as_xyz
'x,y,z'
'-x,-y,-z'
'-x,y,-z'
'x,-y,z'
'x+1/2,y+1/2,z'
'-x+1/2,-y+1/2,-z'
'-x+1/2,y+1/2,-z'
'x+1/2,-y+1/2,z'
loop_
_atom_site_label
_atom_site_fract_x
_atom_site_fract_y
_atom_site_fract_z
_atom_site_occupancy
Sr1 0.000 0.165 0.000 1
Ti1 0.000 0.500 0.000 1
Tl1 0.000 0.000 0.500 1
Tl2 0.000 0.332 0.500 1
Se1 0.213 0.500 0.782 1
Se2 0.214 0.358 0.208 1

---

(14)
# PBE Nd4SbIr, optimized geometry
# * calculated density: 8.00 g/cm³
# * formation energy from raw total energies: -53.7 kJ/mol of atoms
# * V: 30.808 A^3/atom
# * energy: -5.8986 eV per atom
data_Nd4SbIr
_chemical_formula_sum 'Nd8 Sb2 Ir2'
_symmetry_space_group_name_H-M 'P -1'
_symmetry_Int_Tables_number 2
_cell_length_a 5.803
_cell_length_b 8.053
_cell_length_c 8.702
_cell_angle_alpha 104.46
_cell_angle_beta 109.47
_cell_angle_gamma 90.00
loop_
_symmetry_equiv_pos_as_xyz
'x,y,z'
'-x,-y,-z'
loop_
_atom_site_label
_atom_site_fract_x
_atom_site_fract_y
_atom_site_fract_z
_atom_site_occupancy
Nd1 0.040 0.143 0.367 1
Nd2 0.268 0.556 0.848 1
Nd3 0.327 0.643 0.367 1
Nd4 0.420 0.944 0.152 1
Sb1 0.143 0.250 0.000 1
Ir1 0.000 0.500 0.500 1
Ir2 0.500 0.000 0.500 1

---

(15)
# PBE Ni2Ir2W3, optimized geometry
# * calculated density: 17.76 g/cm³
# * energy of formation: -161 meV per atom
# * V: 14.069 A^3/atom
# * energy: -9.8956 eV per atom
data_Ni2Ir2W3
_chemical_formula_sum 'Ni4 Ir4 W6'
_symmetry_space_group_name_H-M 'C m m m'
_symmetry_Int_Tables_number 65
_symmetry_space_group_name_Hall '-C 2 2'
_cell_length_a 3.970
_cell_length_b 18.162
_cell_length_c 2.732
_cell_angle_alpha 90.00
_cell_angle_beta 90.00
_cell_angle_gamma 90.00
loop_
_atom_site_label
_atom_site_fract_x
_atom_site_fract_y
_atom_site_fract_z
_atom_site_occupancy
Ni1 0.000 0.216 0.000 1
Ir1 0.000 0.076 0.000 1
W1 0.000 0.345 0.500 1
W2 0.000 0.500 0.500 1

---

(16)
# PBE HfNiRuAu2, optimized geometry
# * calculated density: 12.57 g/cm³
# * energy of formation: 736 meV per atom
# * V: 19.344 A^3/atom
# * energy: -5.5772 eV per atom
data_HfNiRuAu2
_chemical_formula_sum 'Hf1 Ni1 Ru1 Au2'
_symmetry_space_group_name_H-M 'P 4/m m m'
_symmetry_Int_Tables_number 123
_symmetry_space_group_name_Hall '-P 4 2'
_cell_length_a 4.639
_cell_length_b 4.639
_cell_length_c 4.494
_cell_angle_alpha 90.00
_cell_angle_beta 90.00
_cell_angle_gamma 90.00
loop_
_atom_site_label
_atom_site_fract_x
_atom_site_fract_y
_atom_site_fract_z
_atom_site_occupancy
Hf1 0.000 0.000 0.000 1
Ni1 0.000 0.000 0.500 1
Ru1 0.500 0.500 0.000 1
Au1 0.000 0.500 0.500 1

---

(17)
# PBE LiPaCoS3, optimized geometry
# * calculated density: 5.88 g/cm³
# * formation energy from raw total energies: -118.6 kJ/mol of atoms
# * V: 18.492 A^3/atom
# * energy: -6.3786 eV per atom
data_LiPaCoS3
_chemical_formula_sum 'Li2 Pa2 Co2 S6'
_symmetry_space_group_name_H-M 'P 1 21/m 1'
_symmetry_Int_Tables_number 11
_cell_length_a 7.510
_cell_length_b 3.756
_cell_length_c 8.011
_cell_angle_alpha 90.00
_cell_angle_beta 100.87
_cell_angle_gamma 90.00
loop_
_symmetry_equiv_pos_as_xyz
'x,y,z'
'-x,-y,-z'
'-x,y+1/2,-z'
'x,-y+1/2,z'
loop_
_atom_site_label
_atom_site_fract_x
_atom_site_fract_y
_atom_site_fract_z
_atom_site_occupancy
Li1 0.140 0.250 0.154 1
Pa1 0.334 0.750 0.758 1
Co1 0.411 0.750 0.413 1
S1 0.098 0.250 0.833 1
S2 0.289 0.250 0.488 1
S3 0.404 0.750 0.131 1

---

(18)
# PBE ScTl2Cu, optimized geometry
# * calculated density: 9.25 g/cm³
# * energy of formation: 104 meV per atom
# * V: 23.206 A^3/atom
# * energy: -3.6861 eV per atom
data_ScTl2Cu
_chemical_formula_sum 'Sc4 Tl8 Cu4'
_symmetry_space_group_name_H-M 'I -4 2 d'
_symmetry_Int_Tables_number 122
_symmetry_space_group_name_Hall 'I -4 2bw'
_cell_length_a 7.770
_cell_length_b 7.770
_cell_length_c 6.150
_cell_angle_alpha 90.00
_cell_angle_beta 90.00
_cell_angle_gamma 90.00
loop_
_atom_site_label
_atom_site_fract_x
_atom_site_fract_y
_atom_site_fract_z
_atom_site_occupancy
Sc1 0.000 0.000 0.000 1
Tl1 0.212 0.750 0.625 1
Cu1 0.000 0.000 0.500 1

---

(19)
# PBE K3Rb4LiBr8, optimized geometry
# * calculated density: 3.01 g/cm³
# * formation energy from raw total energies: -162.4 kJ/mol of atoms
# * V: 38.118 A^3/atom
# * energy: -3.0866 eV per atom
data_K3Rb4LiBr8
_chemical_formula_sum 'K6 Rb8 Li2 Br16'
_symmetry_space_group_name_H-M 'C 1 2/m 1'
_symmetry_Int_Tables_number 12
_cell_length_a 16.527
_cell_length_b 9.473
_cell_length_c 9.506
_cell_angle_alpha 90.00
_cell_angle_beta 124.96
_cell_angle_gamma 90.00
loop_
_symmetry_equiv_pos_as_xyz
'x,y,z'
'-x,-y,-z'
'-x,y,-z'
'x,-y,z'
'x+1/2,y+1/2,z'
'-x+1/2,-y+1/2,-z'
'-x+1/2,y+1/2,-z'
'x+1/2,-y+1/2,z'
loop_
_atom_site_label
_atom_site_fract_x
_atom_site_fract_y
_atom_site_fract_z
_atom_site_occupancy
K1 0.000 0.000 0.000 1
K2 0.250 0.250 0.000 1
Rb1 0.000 0.000 0.500 1
Rb2 0.000 0.500 0.500 1
Rb3 0.250 0.250 0.500 1
Li1 0.000 0.500 0.000 1
Br1 0.004 0.271 0.782 1
Br2 0.243 0.500 0.235 1
Br3 0.246 0.000 0.237 1

---

(20)
# PBE Ca2FePt, optimized geometry
# * calculated density: 6.21 g/cm³
# * energy of formation: -119 meV per atom
# * V: 22.142 A^3/atom
# * energy: -4.7453 eV per atom
data_Ca2FePt
_chemical_formula_sum 'Ca2 Fe1 Pt1'
_symmetry_space_group_name_H-M 'P m m m'
_symmetry_Int_Tables_number 47
_cell_length_a 3.506
_cell_length_b 3.516
_cell_length_c 7.183
_cell_angle_alpha 90.00
_cell_angle_beta 90.00
_cell_angle_gamma 90.00
loop_
_symmetry_equiv_pos_as_xyz
'x,y,z'
'-x,-y,-z'
'-x,-y,z'
'x,y,-z'
'x,-y,-z'
'-x,y,z'
'-x,y,-z'
'x,-y,z'
loop_
_atom_site_label
_atom_site_fract_x
_atom_site_fract_y
_atom_site_fract_z
_atom_site_occupancy
Ca1 0.000 0.000 0.234 1
Fe1 0.500 0.500 0.500 1
Pt1 0.500 0.500 0.000 1